Record 1
DFT (PBE) results for a relaxed structure of Na2AsHPb.

```
data_Na2AsHPb
_space_group_name_H-M_alt 'P 1'
_space_group_IT_number 1
_cell_length_a 4.707
_cell_length_b 4.496
_cell_length_c 4.707
_cell_angle_alpha 90.00
_cell_angle_beta 90.00
_cell_angle_gamma 90.00
loop_
_space_group_symop_operation_xyz
'x,y,z'
loop_
_atom_site_label
_atom_site_type_symbol
_atom_site_fract_x
_atom_site_fract_y
_atom_site_fract_z
Pb1 Pb 0.500 0.500 0.500
Na1 Na 0.000 0.000 0.500
Na2 Na 0.500 0.000 0.000
As1 As 0.000 0.500 0.000
H1 H 0.000 0.000 0.000
```

Properties
M_tot = 0.000 Bohr magnetons per cell
E above lowest polymorph = 0.56 eV/f.u.
Density of states at the Fermi level = 0.3 states/eV/cell

***

Record 2
DFT (PBE) results for a relaxed structure of Na2AsHPd6.

```
data_Na2AsHPd6
_space_group_name_H-M_alt 'P 1'
_space_group_IT_number 1
_cell_length_a 6.670
_cell_length_b 5.745
_cell_length_c 5.748
_cell_angle_alpha 60.01
_cell_angle_beta 64.21
_cell_angle_gamma 90.01
loop_
_space_group_symop_operation_xyz
'x,y,z'
loop_
_atom_site_label
_atom_site_type_symbol
_atom_site_fract_x
_atom_site_fract_y
_atom_site_fract_z
Na1 Na 0.834 0.279 0.442
Na2 Na 0.166 0.721 0.558
As1 As 0.000 0.000 0.000
H1 H 0.500 0.500 0.000
Pd1 Pd 0.308 0.269 0.461
Pd2 Pd 0.692 0.732 0.037
Pd3 Pd 0.308 0.769 0.963
Pd4 Pd 0.692 0.231 0.037
Pd5 Pd 0.308 0.268 0.963
Pd6 Pd 0.692 0.731 0.539
```

Properties
M_tot = 0.000 Bohr magnetons per cell
Calculated total energy = -4.45 eV per atom
Density of states at the Fermi level = 2.7 states/eV/cell

***

Record 3
DFT (PBE) results for a relaxed structure of NaAsHPd2.

```
data_NaAsHPd2
_space_group_name_H-M_alt 'P 1'
_space_group_IT_number 1
_cell_length_a 3.855
_cell_length_b 5.779
_cell_length_c 7.412
_cell_angle_alpha 90.00
_cell_angle_beta 90.00
_cell_angle_gamma 109.49
loop_
_space_group_symop_operation_xyz
'x,y,z'
loop_
_atom_site_label
_atom_site_type_symbol
_atom_site_fract_x
_atom_site_fract_y
_atom_site_fract_z
Na1 Na 0.458 0.917 0.750
Na2 Na 0.542 0.083 0.250
As1 As 0.733 0.467 0.750
As2 As 0.267 0.533 0.250
H1 H 0.000 0.000 0.000
H2 H 0.000 0.000 0.500
Pd1 Pd 0.159 0.318 0.947
Pd2 Pd 0.841 0.682 0.053
Pd3 Pd 0.159 0.318 0.553
Pd4 Pd 0.841 0.682 0.447
```

Properties
M_tot = 0.000 Bohr magnetons per cell
Calculated total energy = -4.31 eV per atom
Density of states at the Fermi level = 3.8 states/eV/cell

***

Record 4
DFT (PBE) results for a relaxed structure of RbNaAsH.

```
data_RbNaAsH
_space_group_name_H-M_alt 'P 1'
_space_group_IT_number 1
_cell_length_a 5.200
_cell_length_b 5.200
_cell_length_c 4.642
_cell_angle_alpha 90.00
_cell_angle_beta 90.00
_cell_angle_gamma 120.00
loop_
_space_group_symop_operation_xyz
'x,y,z'
loop_
_atom_site_label
_atom_site_type_symbol
_atom_site_fract_x
_atom_site_fract_y
_atom_site_fract_z
Rb1 Rb 0.572 0.144 0.357
Na1 Na 0.905 0.810 0.851
As1 As 0.238 0.477 0.847
H1 H 0.239 0.478 0.184
```

Properties
M_tot = 0.000 Bohr magnetons per cell
Calculated total energy = -2.91 eV per atom